NdMg6Cu6: optimized geometry, PBE.

Lattice parameters (Å, degrees): 7.0413 7.0413 7.0413 136.21 98.35 97.64
Fractional coordinates of all 13 atoms:
Nd 0.0000 0.0000 0.0000
Mg 0.1924 0.6924 0.5000
Mg 0.3389 0.0000 0.3389
Mg 0.3469 0.3469 0.0000
Mg 0.6531 0.6531 0.0000
Mg 0.6611 0.0000 0.6611
Mg 0.8076 0.3076 0.5000
Cu 0.0000 0.0000 0.5000
Cu 0.0000 0.5000 0.0000
Cu 0.2296 0.5000 0.7296
Cu 0.5000 0.0000 0.0000
Cu 0.5000 0.5000 0.5000
Cu 0.7704 0.5000 0.2704

## Properties
M_tot, μB per cell: 0.0
Symmetry: Immm (71)
DFT formation energy, kJ/mol of formula units: -147



AlRuS2N: optimized geometry, PBE.

Lattice parameters (Å, degrees): 4.8180 4.8180 3.6445 90.00 90.00 90.00
Fractional coordinates of all 5 atoms:
Al 0.0000 0.0000 0.0000
Ru 0.5000 0.5000 0.5000
S 0.0000 0.5000 0.5000
S 0.5000 0.0000 0.5000
N 0.5000 0.5000 0.0000

## Properties
M_tot, μB per cell: 0.0
Distance to the lowest polymorph of the same formula, kcal/mol of atoms: 0.00
Energy relative to the elements, uncorrected, meV per atom: 347
Symmetry: P4/mmm (123)



Cu2PdPb3O6: optimized geometry, PBE.

Lattice parameters (Å, degrees): 5.8832 5.8832 5.8738 90.00 90.00 120.00
Fractional coordinates of all 12 atoms:
Cu 0.3333 0.6667 0.1088
Cu 0.6667 0.3333 0.8912
Pd 0.0000 0.0000 0.5000
Pb 0.0000 0.0000 0.0000
Pb 0.3333 0.6667 0.6198
Pb 0.6667 0.3333 0.3802
O 0.1751 0.3502 0.3117
O 0.1751 0.8249 0.3117
O 0.3502 0.1751 0.6883
O 0.6498 0.8249 0.3117
O 0.8249 0.1751 0.6883
O 0.8249 0.6498 0.6883

## Properties
M_tot, μB per cell: 0.0
Energy relative to the elements, uncorrected, meV per atom: -535
Symmetry: P-3m1 (164)



Tl2CoHg: optimized geometry, PBE.

Lattice parameters (Å, degrees): 9.4734 9.4734 9.4734 20.64 20.64 20.64
Fractional coordinates of all 4 atoms:
Tl 0.0000 0.0000 0.0000
Tl 0.2310 0.2310 0.2310
Co 0.7347 0.7347 0.7347
Hg 0.4683 0.4683 0.4683

## Properties
M_tot, μB per cell: 1.3
Distance to the lowest polymorph of the same formula, kcal/mol of atoms: 2.33
Symmetry: R3m (160)
DFT formation energy, kJ/mol of formula units: 158



Sm8Sb3O8: optimized geometry, PBE.

Lattice parameters (Å, degrees): 7.1105 7.1105 15.4722 106.18 106.18 31.52
Fractional coordinates of all 19 atoms:
Sm 0.0448 0.0448 0.3350
Sm 0.1430 0.1430 0.9312
Sm 0.2184 0.2184 0.5887
Sm 0.3777 0.3777 0.8464
Sm 0.6223 0.6223 0.1536
Sm 0.7816 0.7816 0.4113
Sm 0.8570 0.8570 0.0688
Sm 0.9552 0.9552 0.6650
Sb 0.3289 0.3289 0.2333
Sb 0.5000 0.5000 0.5000
Sb 0.6711 0.6711 0.7667
O 0.0303 0.0303 0.1293
O 0.2041 0.2041 0.4347
O 0.3336 0.3336 0.9853
O 0.3825 0.3825 0.7001
O 0.6175 0.6175 0.2999
O 0.6664 0.6664 0.0147
O 0.7959 0.7959 0.5653
O 0.9697 0.9697 0.8707

## Properties
M_tot, μB per cell: 0.0
Energy relative to the elements, uncorrected, meV per atom: -2753
Symmetry: C2/m (12)



CrGaSbI2: optimized geometry, PBE.

Lattice parameters (Å, degrees): 5.6769 5.6769 5.1810 90.00 90.00 90.00
Fractional coordinates of all 5 atoms:
Cr 0.0000 0.0000 0.0000
Ga 0.5000 0.5000 0.5000
Sb 0.0000 0.0000 0.5000
I 0.0000 0.5000 0.0000
I 0.5000 0.0000 0.0000

## Properties
M_tot, μB per cell: 2.4
Distance to the lowest polymorph of the same formula, kcal/mol of atoms: 0.00
Energy relative to the elements, uncorrected, meV per atom: 194
Symmetry: P4/mmm (123)



Th7Tc2Hg2: optimized geometry, PBE.

Lattice parameters (Å, degrees): 9.7108 9.7108 9.7108 157.17 68.09 116.84
Fractional coordinates of all 11 atoms:
Th 0.0000 0.0000 0.0000
Th 0.0375 0.3576 0.6799
Th 0.0710 0.7243 0.3467
Th 0.3776 0.7243 0.6533
Th 0.4280 0.5651 0.8629
Th 0.6776 0.3576 0.3201
Th 0.7022 0.5651 0.1371
Tc 0.2748 0.0463 0.2285
Tc 0.8177 0.0463 0.7715
Hg 0.3249 0.3249 0.0000
Hg 0.7230 0.2230 0.5000

## Properties
M_tot, μB per cell: 0.0
Distance to the lowest polymorph of the same formula, kcal/mol of atoms: 0.00
Symmetry: Imm2 (44)
DFT formation energy, kJ/mol of formula units: -160



PrDyHoSn: optimized geometry, PBE.

Lattice parameters (Å, degrees): 5.4759 5.4759 5.4759 60.00 60.00 60.00
Fractional coordinates of all 4 atoms:
Pr 0.0000 0.0000 0.0000
Dy 0.5000 0.5000 0.5000
Ho 0.7500 0.7500 0.7500
Sn 0.2500 0.2500 0.2500

## Properties
M_tot, μB per cell: 0.0
Symmetry: F-43m (216)
DFT formation energy, kJ/mol of formula units: -94



CrTc3Ge: optimized geometry, PBE.

Lattice parameters (Å, degrees): 4.4591 4.4591 4.4591 90.00 90.00 90.00
Fractional coordinates of all 5 atoms:
Cr 0.0000 0.0000 0.0000
Tc 0.0000 0.5000 0.5000
Tc 0.5000 0.0000 0.5000
Tc 0.5000 0.5000 0.0000
Ge 0.5000 0.5000 0.5000

## Properties
M_tot, μB per cell: 0.0
Distance to the lowest polymorph of the same formula, kcal/mol of atoms: 7.96
Symmetry: Pm-3m (221)
DFT formation energy, kJ/mol of formula units: 759



Ta2RuAu: optimized geometry, PBE.

Lattice parameters (Å, degrees): 5.8436 5.8436 5.8436 103.18 103.18 122.96
Fractional coordinates of all 8 atoms:
Ta 0.0952 0.6250 0.9702
Ta 0.3750 0.3452 0.4702
Ta 0.6548 0.1250 0.0298
Ta 0.8750 0.9048 0.5298
Ru 0.0000 0.0000 0.0000
Ru 0.7500 0.2500 0.5000
Au 0.2500 0.7500 0.5000
Au 0.5000 0.5000 0.0000

## Properties
M_tot, μB per cell: 0.0
Distance to the lowest polymorph of the same formula, kcal/mol of atoms: 11.20
Symmetry: I-42d (122)
DFT formation energy, kJ/mol of formula units: 125



Sm4TlIr2: optimized geometry, PBE.

Lattice parameters (Å, degrees): 7.8279 7.8279 7.8279 108.90 108.90 110.62
Fractional coordinates of all 14 atoms:
Sm 0.0015 0.7569 0.1038
Sm 0.0969 0.4931 0.7446
Sm 0.1023 0.9985 0.7554
Sm 0.2431 0.3469 0.2446
Sm 0.5069 0.2515 0.6038
Sm 0.6477 0.9031 0.3962
Sm 0.6531 0.8977 0.8962
Sm 0.7485 0.3523 0.2554
Tl 0.2500 0.7500 0.5000
Tl 0.5000 0.5000 0.0000
Ir 0.0074 0.1250 0.3824
Ir 0.3750 0.9926 0.1176
Ir 0.7426 0.6250 0.6176
Ir 0.8750 0.2574 0.8824

## Properties
M_tot, μB per cell: 0.0
Distance to the lowest polymorph of the same formula, kcal/mol of atoms: 1.36
Symmetry: I-42d (122)
DFT formation energy, kJ/mol of formula units: -315



CrHOs: optimized geometry, PBE.

Lattice parameters (Å, degrees): 4.8890 4.8890 4.8890 32.16 32.16 32.16
Fractional coordinates of all 3 atoms:
Cr 0.0000 0.0000 0.0000
H 0.6092 0.6092 0.6092
Os 0.4766 0.4766 0.4766

## Properties
M_tot, μB per cell: 0.0
Distance to the lowest polymorph of the same formula, kcal/mol of atoms: 1.44
Symmetry: R3m (160)



Question: Among the records above, which one has the highest M_tot?
Answer: CrGaSbI2